# La2YMo

A geometry-optimized La2YMo structure (PBE-GGA, Alexandria).

The structure belongs to space group P2/m (No. 10); the cell edges are 3.640, 4.735 and 6.723 Å and the angles 90.00°, 103.39° and 90.00°. The inequivalent atoms are La at (0.119, 0.000, 0.281), Y at (0.500, 0.500, 0.000) and Mo at (0.500, 0.500, 0.500).

The calculation puts the offset from the most stable computed form at 119 meV/atom. Its formation energy is 0.414 eV/atom. The electronic total energy is -6.373 eV/atom.


# ZrCdHg2

A geometry-optimized ZrCdHg2 structure (PBE-GGA, Alexandria).

The structure belongs to space group I-4m2 (No. 119); the cell edges are 4.422, 4.422 and 9.045 Å and the angles 90.00°, 90.00° and 90.00°. The inequivalent atoms are Zr at (0.000, 0.000, 0.000), Cd at (0.000, 0.500, 0.750), Hg at (0.000, 0.000, 0.500) and Hg at (0.000, 0.500, 0.250).

Its formation energy is 0.042 eV/atom. The electronic total energy is -2.475 eV/atom.


# PuInCuGe

A geometry-optimized PuInCuGe structure (PBE-GGA, Alexandria).

The structure belongs to space group F-43m (No. 216); the cell edges are 6.874, 6.874 and 6.874 Å and the angles 90.00°, 90.00° and 90.00°. The inequivalent atoms are Pu at (0.000, 0.000, 0.000), In at (0.000, 0.000, 0.500), Cu at (0.250, 0.250, 0.250) and Ge at (0.250, 0.250, 0.750).

Its formation energy is -0.105 eV/atom. The electronic total energy is -6.551 eV/atom.


# BMo2IrPb

A geometry-optimized BMo2IrPb structure (PBE-GGA, Alexandria).

The structure belongs to space group P4/mmm (No. 123); the cell edges are 4.301, 4.301 and 4.237 Å and the angles 90.00°, 90.00° and 90.00°. The inequivalent atoms are B at (0.000, 0.000, 0.000), Mo at (0.000, 0.500, 0.000), Ir at (0.000, 0.000, 0.500) and Pb at (0.500, 0.500, 0.500).

Its formation energy is 0.308 eV/atom. The electronic total energy is -7.874 eV/atom.


# TlV2MoBr

A geometry-optimized TlV2MoBr structure (PBE-GGA, Alexandria).

The structure belongs to space group P4/mmm (No. 123); the cell edges are 5.286, 5.286 and 5.849 Å and the angles 90.00°, 90.00° and 90.00°. The inequivalent atoms are Tl at (0.000, 0.000, 0.000), V at (0.000, 0.500, 0.000), Mo at (0.500, 0.500, 0.500) and Br at (0.000, 0.000, 0.500).

The electronic total energy is -4.496 eV/atom.


# Mg2BeAs2Rh5

A geometry-optimized Mg2BeAs2Rh5 structure (PBE-GGA, Alexandria).

The structure belongs to space group P4/mbm (No. 127); the cell edges are 9.452, 9.452 and 3.378 Å and the angles 90.00°, 90.00° and 90.00°. The inequivalent atoms are Mg at (0.169, 0.331, 0.000), Be at (0.000, 0.000, 0.000), As at (0.134, 0.634, 0.000), Rh at (0.000, 0.500, 0.500) and Rh at (0.070, 0.805, 0.500).

Its formation energy is -0.434 eV/atom. The electronic total energy is -5.731 eV/atom.


# CsNdHgO3

A geometry-optimized CsNdHgO3 structure (PBE-GGA, Alexandria).

The structure belongs to space group P2_1/m (No. 11); the cell edges are 8.347, 3.718 and 9.479 Å and the angles 90.00°, 99.42° and 90.00°. The inequivalent atoms are Cs at (0.164, 0.250, 0.216), Nd at (0.365, 0.750, 0.873), Hg at (0.146, 0.250, 0.597), O at (0.163, 0.750, 0.470), O at (0.185, 0.250, 0.840) and O at (0.442, 0.750, 0.109).

The electronic total energy is -5.170 eV/atom.


# Rb2YHF6

A geometry-optimized Rb2YHF6 structure (PBE-GGA, Alexandria).

The structure belongs to space group I4/mmm (No. 139); the cell edges are 5.535, 5.535 and 10.706 Å and the angles 90.00°, 90.00° and 90.00°. The inequivalent atoms are Rb at (0.000, 0.500, 0.250), Y at (0.000, 0.000, 0.000), H at (0.000, 0.000, 0.500), F at (0.000, 0.000, 0.204) and F at (0.219, 0.219, 0.500).

The electronic total energy is -5.067 eV/atom.


# SnGe2WBr

A geometry-optimized SnGe2WBr structure (PBE-GGA, Alexandria).

The structure belongs to space group P4/mmm (No. 123); the cell edges are 5.043, 5.043 and 5.404 Å and the angles 90.00°, 90.00° and 90.00°. The inequivalent atoms are Sn at (0.000, 0.000, 0.000), Ge at (0.000, 0.500, 0.500), W at (0.500, 0.500, 0.000) and Br at (0.000, 0.000, 0.500).

The electronic total energy is -3.770 eV/atom.


# BeRe3

A geometry-optimized BeRe3 structure (PBE-GGA, Alexandria).

The structure belongs to space group Fm-3m (No. 225); the cell edges are 6.049, 6.049 and 6.049 Å and the angles 90.00°, 90.00° and 90.00°. The inequivalent atoms are Be at (0.000, 0.000, 0.000), Re at (0.000, 0.000, 0.500) and Re at (0.250, 0.250, 0.250).

The calculation puts the offset from the most stable computed form at 203 meV/atom. Its formation energy is 0.141 eV/atom. The electronic total energy is -10.127 eV/atom.


# Zr3TlZn

A geometry-optimized Zr3TlZn structure (PBE-GGA, Alexandria).

The structure belongs to space group P6_3/mmc (No. 194); the cell edges are 6.9458, 6.9458 and 5.4234 Å and the angles 90.00°, 90.00° and 120.00°. The inequivalent atoms are Zr at (0.1896, 0.3792, 0.2500), Tl at (0.3333, 0.6667, 0.7500) and Zn at (0.0000, 0.0000, 0.0000).

The calculation puts the offset from the most stable computed form at 0 meV/atom. Its formation energy is 0.126 eV/atom. The electronic total energy is -5.731 eV/atom.


# ZrAl2Cu8

A geometry-optimized ZrAl2Cu8 structure (PBE-GGA, Alexandria).

The structure belongs to space group P4/mmm (No. 123); the cell edges are 3.605, 3.605 and 11.875 Å and the angles 90.00°, 90.00° and 90.00°. The inequivalent atoms are Zr at (0.000, 0.000, 0.000), Al at (0.000, 0.000, 0.342), Cu at (0.000, 0.500, 0.181), Cu at (0.000, 0.500, 0.500) and Cu at (0.500, 0.500, 0.342).

Its formation energy is -0.028 eV/atom. The electronic total energy is -4.465 eV/atom.